(1)
An optimized crystal structure of BaSrGaNi, computed with PBE.

Unit cell a=4.3529 b=4.3529 c=8.7349 alpha=90.10 beta=104.33 gamma=119.98
With the nearest neighbours (Å) after each atom.
Fractional coordinates of all 4 atoms:
Ba 0.3444 0.0376 0.3820  3 Ni 3.34, 3 Ga 3.35
Sr 0.0088 0.8683 0.8771  3 Ga 3.22, 3 Ni 3.23
Ni 0.5033 0.6162 0.1194  3 Ga 2.51
Ga 0.8356 0.2824 0.1180  3 Ni 2.51

Output
electronic total energy = -13.5 eV for the cell shown
energy of formation from the pure elements = -0.26 eV per atom

***

(2)
An optimized crystal structure of Ba2TlGaNi, computed with PBE.

Unit cell a=6.0267 b=6.0267 c=4.6368 alpha=90.00 beta=90.00 gamma=90.00
With the nearest neighbours (Å) after each atom.
Fractional coordinates of all 5 atoms:
Ni 0.0000 0.0000 0.0000  2 Ga 2.32
Tl 0.5000 0.5000 0.5000  8 Ba 3.80
Ga 0.0000 0.0000 0.5000  2 Ni 2.32
Ba 0.0000 0.5000 0.0000  2 Ni 3.01
Ba 0.5000 0.0000 0.0000  2 Ni 3.01

Output
electronic total energy = -16.1 eV for the cell shown
energy of formation from the pure elements = -0.22 eV per atom

***

(3)
An optimized crystal structure of BaTl2GaNi, computed with PBE.

Unit cell a=5.2444 b=5.2444 c=4.8678 alpha=90.00 beta=90.00 gamma=90.00
With the nearest neighbours (Å) after each atom.
Fractional coordinates of all 5 atoms:
Ni 0.0000 0.0000 0.0000  2 Ga 2.43, 4 Tl 2.62
Ba 0.5000 0.5000 0.5000  8 Tl 3.58, 4 Ga 3.71
Ga 0.0000 0.0000 0.5000  2 Ni 2.43
Tl 0.0000 0.5000 0.0000  2 Ni 2.62
Tl 0.5000 0.0000 0.0000  2 Ni 2.62

Output
electronic total energy = -16.3 eV for the cell shown
energy of formation from the pure elements = -0.16 eV per atom

***

(4)
An optimized crystal structure of BaZnGa2Ni, computed with PBE.

Unit cell a=4.7254 b=4.7254 c=4.8424 alpha=90.00 beta=90.00 gamma=90.00
With the nearest neighbours (Å) after each atom.
Fractional coordinates of all 5 atoms:
Ga 0.0000 0.5000 0.0000  2 Ni 2.36
Ga 0.5000 0.0000 0.0000  2 Ni 2.36
Ba 0.5000 0.5000 0.5000  4 Zn 3.34, 8 Ga 3.38
Ni 0.0000 0.0000 0.0000  4 Ga 2.36, 2 Zn 2.42
Zn 0.0000 0.0000 0.5000  2 Ni 2.42

Output
electronic total energy = -16.6 eV for the cell shown
energy of formation from the pure elements = -0.32 eV per atom

***

(5)
An optimized crystal structure of Ba2ZnGaNi, computed with PBE.

Unit cell a=5.9515 b=5.9515 c=4.6278 alpha=90.00 beta=90.00 gamma=90.00
With the nearest neighbours (Å) after each atom.
Fractional coordinates of all 5 atoms:
Zn 0.5000 0.5000 0.5000  8 Ba 3.77, 4 Ga 4.21
Ga 0.0000 0.0000 0.5000  2 Ni 2.31
Ba 0.0000 0.5000 0.0000  2 Ni 2.98
Ba 0.5000 0.0000 0.0000  2 Ni 2.98
Ni 0.0000 0.0000 0.0000  2 Ga 2.31

Output
electronic total energy = -14.6 eV for the cell shown
energy of formation from the pure elements = -0.13 eV per atom

***

(6)
An optimized crystal structure of Ba3NpGa2O9, computed with PBE.

Unit cell a=5.8370 b=5.8370 c=7.2111 alpha=90.00 beta=90.00 gamma=120.00
With the nearest neighbours (Å) after each atom.
Fractional coordinates of all 15 atoms:
Ba 0.6667 0.3333 0.3142  12 O 2.82-3.05
Ba 0.0000 0.0000 0.0000  12 O 2.92-2.94
Ba 0.3333 0.6667 0.6858  12 O 2.82-3.05
O 0.5000 0.0000 0.0000  2 Ga 1.98
O 0.1678 0.3355 0.3325  1 Np 2.08, 1 Ga 2.15
O 0.1678 0.8322 0.3325  1 Np 2.08, 1 Ga 2.15
O 0.6645 0.8322 0.3325  1 Np 2.08, 1 Ga 2.15
O 0.8322 0.6645 0.6675  1 Np 2.08, 1 Ga 2.15
O 0.5000 0.5000 0.0000  2 Ga 1.98
O 0.8322 0.1678 0.6675  1 Np 2.08, 1 Ga 2.15
O 0.0000 0.5000 0.0000  2 Ga 1.98
O 0.3355 0.1678 0.6675  1 Np 2.08, 1 Ga 2.15
Np 0.0000 0.0000 0.5000  6 O 2.08
Ga 0.3333 0.6667 0.1453  6 O 1.98-2.15
Ga 0.6667 0.3333 0.8547  6 O 1.98-2.15

Output
electronic total energy = -107.5 eV for the cell shown

***

(7)
An optimized crystal structure of BaNpGa2O8, computed with PBE.

Unit cell a=4.8449 b=4.8464 c=7.6386 alpha=92.02 beta=87.60 gamma=86.91
With the nearest neighbours (Å) after each atom.
Fractional coordinates of all 12 atoms:
O 0.1942 0.8040 0.1886  1 Np 1.99, 1 Ga 2.03
O 0.4183 0.5790 0.4356  1 O 1.50
O 0.5817 0.4210 0.5644  1 O 1.50
O 0.3085 0.3091 0.0002  2 Ga 1.95, 1 Np 2.17
O 0.2163 0.7864 0.7908  1 Ga 1.93, 1 Np 2.09
O 0.8058 0.1960 0.8114  1 Np 1.99, 1 Ga 2.03
O 0.6915 0.6909 0.9998  2 Ga 1.95, 1 Np 2.17
O 0.7837 0.2136 0.2092  1 Ga 1.93, 1 Np 2.09
Ga 0.4987 0.5003 0.1842  5 O 1.93-2.03
Ga 0.5013 0.4997 0.8158  5 O 1.93-2.03
Np 0.0000 0.0000 0.0000  6 O 1.99-2.17
Ba 0.0000 0.0000 0.5000  6 O 2.65-2.81

Output
electronic total energy = -85.6 eV for the cell shown

***

(8)
An optimized crystal structure of Ba2NpGaS5, computed with PBE.

Unit cell a=4.1574 b=9.3210 c=12.9916 alpha=90.00 beta=90.00 gamma=102.89
With the nearest neighbours (Å) after each atom.
Fractional coordinates of all 18 atoms:
Np 0.1987 0.3974 0.0254  6 S 2.68-2.87
Np 0.8013 0.6026 0.5254  6 S 2.68-2.87
Ba 0.8819 0.7638 0.1855  7 S 3.15-3.46
Ba 0.8723 0.7447 0.8298  7 S 3.17-3.51
Ba 0.1277 0.2553 0.3298  7 S 3.17-3.51
Ba 0.1181 0.2362 0.6855  7 S 3.15-3.46
Ga 0.5552 0.1105 0.9311  4 S 2.25-2.41
Ga 0.4448 0.8895 0.4311  4 S 2.25-2.41
S 0.6824 0.3647 0.8790  1 Ga 2.41
S 0.6541 0.3081 0.5102  1 Np 2.68
S 0.3459 0.6919 0.0102  1 Np 2.68
S 0.0406 0.0811 0.0221  2 Ga 2.41
S 0.4987 0.9975 0.7769  1 Ga 2.25
S 0.9594 0.9189 0.5221  2 Ga 2.41
S 0.3176 0.6353 0.3790  1 Ga 2.41
S 0.7027 0.4055 0.1640  2 Np 2.75
S 0.5013 0.0025 0.2769  1 Ga 2.25
S 0.2973 0.5945 0.6640  2 Np 2.75

Output
electronic total energy = -108.2 eV for the cell shown

***

(9)
An optimized crystal structure of Ba2NpGaTe5, computed with PBE.

Unit cell a=4.6026 b=10.5196 c=14.1227 alpha=90.00 beta=90.00 gamma=102.64
With the nearest neighbours (Å) after each atom.
Fractional coordinates of all 18 atoms:
Te 0.0463 0.0926 0.0407  2 Ga 2.75
Te 0.6481 0.2961 0.5069  1 Np 3.07
Te 0.5006 0.0012 0.7712  1 Ga 2.63
Te 0.3519 0.7039 0.0069  1 Np 3.07
Te 0.6875 0.3751 0.8685  1 Ga 2.77
Te 0.3125 0.6249 0.3685  1 Ga 2.77
Te 0.9537 0.9074 0.5407  2 Ga 2.75
Te 0.2955 0.5910 0.6690  2 Np 3.10
Te 0.7045 0.4090 0.1690  2 Np 3.10
Te 0.4994 0.9988 0.2712  1 Ga 2.63
Ga 0.5608 0.1216 0.9356  4 Te 2.63-2.77
Ga 0.4392 0.8784 0.4356  4 Te 2.63-2.77
Ba 0.1197 0.2394 0.6867  7 Te 3.48-3.72
Ba 0.8803 0.7606 0.1867  7 Te 3.48-3.72
Ba 0.8761 0.7522 0.8239  6 Te 3.50-3.58
Ba 0.1239 0.2478 0.3239  6 Te 3.50-3.58
Np 0.7973 0.5945 0.5216  6 Te 3.07-3.22
Np 0.2027 0.4055 0.0216  6 Te 3.07-3.22

Output
electronic total energy = -90.4 eV for the cell shown

***

(10)
An optimized crystal structure of BaGa3O, computed with PBE.

Unit cell a=4.8713 b=4.8713 c=4.8713 alpha=90.00 beta=90.00 gamma=90.00
With the nearest neighbours (Å) after each atom.
Fractional coordinates of all 5 atoms:
Ga 0.0000 0.5000 0.0000  2 O 2.44
Ga 0.0000 0.0000 0.5000  2 O 2.44
Ga 0.5000 0.0000 0.0000  2 O 2.44
Ba 0.5000 0.5000 0.5000  12 Ga 3.44
O 0.0000 0.0000 0.0000  6 Ga 2.44

Output
E above lowest polymorph = 0.000 eV/atom
electronic total energy = -17.4 eV for the cell shown

***

(11)
An optimized crystal structure of Ba6GaO2, computed with PBE.

Unit cell a=5.4896 b=7.8042 c=9.9357 alpha=107.66 beta=90.00 gamma=110.59
With the nearest neighbours (Å) after each atom.
Fractional coordinates of all 9 atoms:
O 0.7769 0.5538 0.8694  5 Ba 2.63-2.79
O 0.2231 0.4462 0.1306  5 Ba 2.63-2.79
Ba 0.6467 0.2935 0.6082  1 O 2.67
Ba 0.9391 0.8782 0.7878  1 O 2.74
Ba 0.7046 0.4091 0.0796  3 O 2.63-2.79
Ba 0.2954 0.5909 0.9204  3 O 2.63-2.79
Ba 0.3533 0.7065 0.3918  1 O 2.67
Ba 0.0609 0.1218 0.2122  1 O 2.74
Ga 0.0000 0.0000 0.5000  6 Ba 3.26-3.43

Output
electronic total energy = -34.1 eV for the cell shown

***

(12)
An optimized crystal structure of Ba6GaO, computed with PBE.

Unit cell a=7.6613 b=7.6594 c=8.3950 alpha=62.85 beta=62.86 gamma=60.01
With the nearest neighbours (Å) after each atom.
Fractional coordinates of all 8 atoms:
Ba 0.2131 0.9379 0.2359  1 O 2.85
Ba 0.0622 0.3867 0.7640  1 O 2.85
Ba 0.7869 0.0621 0.7641  1 O 2.85
Ba 0.6134 0.2131 0.2359  1 O 2.85
Ba 0.3866 0.7869 0.7641  1 O 2.85
Ba 0.9378 0.6133 0.2360  1 O 2.85
Ga 0.5000 0.5000 0.5000  6 Ba 3.36
O 0.0000 0.0000 0.0000  6 Ba 2.85

Output
electronic total energy = -24.4 eV for the cell shown

***

Among the records above, which one has the highest electronic total energy?
BaSrGaNi